No. 1
# FeAsH4O6

A PBEsol-optimized structure of FeAsH4O6 (SCAN, the Alexandria database).

Geometry as extended XYZ:
```
96
Lattice="8.716 0.000 0.000 0.000 9.677 0.000 0.000 0.000 9.983" Properties=species:S:1:pos:R:3 pbc="T T T"
Fe 1.315 1.766 1.234
Fe 1.315 3.072 6.225
Fe 3.043 6.605 1.234
Fe 3.043 7.911 6.225
Fe 5.673 1.766 3.757
Fe 5.673 3.072 8.749
Fe 7.401 6.605 3.757
Fe 7.401 7.911 8.749
As 0.339 6.137 6.542
As 0.339 8.379 1.551
As 4.019 1.298 6.542
As 4.019 3.540 1.551
As 4.697 6.137 8.432
As 4.697 8.379 3.440
As 8.377 1.298 8.432
As 8.377 3.540 3.440
H 1.237 5.858 9.607
H 1.237 8.658 4.615
H 1.418 5.863 3.065
H 1.418 8.652 8.056
H 1.549 1.752 3.662
H 1.549 3.086 8.653
H 1.745 0.229 5.630
H 1.745 4.610 0.639
H 2.613 5.067 5.630
H 2.613 9.448 0.639
H 2.809 6.591 3.662
H 2.809 7.925 8.653
H 2.940 1.025 3.065
H 2.940 3.814 8.056
H 3.121 1.019 9.607
H 3.121 3.819 4.615
H 5.595 5.858 5.367
H 5.595 8.658 0.376
H 5.776 5.863 1.926
H 5.776 8.652 6.917
H 5.907 1.752 1.330
H 5.907 3.086 6.321
H 6.103 0.229 9.343
H 6.103 4.610 4.352
H 6.971 5.067 9.343
H 6.971 9.448 4.352
H 7.167 6.591 1.330
H 7.167 7.925 6.321
H 7.298 1.025 1.926
H 7.298 3.814 6.917
H 7.479 1.019 5.367
H 7.479 3.819 0.376
O 0.032 0.398 1.346
O 0.032 4.441 6.338
O 0.109 6.728 8.137
O 0.109 7.787 3.145
O 0.755 2.167 9.444
O 0.755 2.672 4.452
O 1.550 5.617 0.535
O 1.550 8.899 5.526
O 1.950 1.152 2.918
O 1.950 3.686 7.909
O 2.001 6.356 6.091
O 2.001 8.160 1.100
O 2.357 1.517 6.091
O 2.357 3.321 1.100
O 2.408 5.991 2.918
O 2.408 8.525 7.909
O 2.808 0.778 0.535
O 2.808 4.060 5.526
O 3.603 7.005 9.444
O 3.603 7.510 4.452
O 4.249 1.890 8.137
O 4.249 2.949 3.145
O 4.326 5.236 1.346
O 4.326 9.279 6.338
O 4.390 0.398 3.645
O 4.390 4.441 8.636
O 4.467 6.728 6.837
O 4.467 7.787 1.846
O 5.113 2.167 5.530
O 5.113 2.672 0.539
O 5.908 5.617 4.457
O 5.908 8.899 9.448
O 6.308 1.152 2.073
O 6.308 3.686 7.065
O 6.359 6.356 8.883
O 6.359 8.160 3.891
O 6.715 1.517 8.883
O 6.715 3.321 3.891
O 6.766 5.991 2.073
O 6.766 8.525 7.065
O 7.166 0.778 4.457
O 7.166 4.060 9.448
O 7.961 7.005 5.530
O 7.961 7.510 0.539
O 8.607 1.890 6.837
O 8.607 2.949 1.846
O 8.684 5.236 3.645
O 8.684 9.279 8.636
```

Values from the calculation:
* VASP energy: -0.3194 Ha/atom


No. 2
# LaAg2Os

A PBEsol-optimized structure of LaAg2Os (SCAN, the Alexandria database).

Geometry as extended XYZ:
```
4
Lattice="2.874 0.000 0.000 0.000 4.076 0.000 0.000 0.000 6.620" Properties=species:S:1:pos:R:3 pbc="T T T"
La 0.000 0.000 0.000
Ag 0.000 0.000 3.144
Ag 1.437 2.038 4.478
Os 1.437 2.038 1.682
```

Values from the calculation:
* formation energy: 364 meV/atom
* relative energy among the computed polymorphs: 0.057 eV/atom


No. 3
# KAl2Rh

A PBEsol-optimized structure of KAl2Rh (SCAN, the Alexandria database).

Geometry as extended XYZ:
```
4
Lattice="3.264 0.000 0.000 0.000 3.264 0.000 0.000 0.000 7.920" Properties=species:S:1:pos:R:3 pbc="T T T"
K 0.000 0.000 0.000
Al 0.000 0.000 3.445
Al 1.632 1.632 5.157
Rh 1.632 1.632 2.627
```

Values from the calculation:
* formation energy: -236 meV/atom
* relative energy among the computed polymorphs: 0.000 eV/atom


No. 4
# YBe2W

A PBEsol-optimized structure of YBe2W (SCAN, the Alexandria database).

Geometry as extended XYZ:
```
4
Lattice="1.971 1.138 4.724 -1.971 1.138 4.724 0.000 -2.276 4.724" Properties=species:S:1:pos:R:3 pbc="T T T"
Y 0.000 0.000 0.000
Be 0.000 0.000 2.921
Be 0.000 0.000 11.252
W 0.000 0.000 7.087
```

Values from the calculation:
* formation energy: 361 meV/atom
* relative energy among the computed polymorphs: 0.000 eV/atom


No. 5
# BeAsPt2

A PBEsol-optimized structure of BeAsPt2 (SCAN, the Alexandria database).

Geometry as extended XYZ:
```
4
Lattice="2.813 0.000 0.000 0.000 2.813 0.000 -0.029 0.000 6.927" Properties=species:S:1:pos:R:3 pbc="T T T"
Be 0.000 0.000 0.000
As -0.014 0.000 3.464
Pt 1.377 1.407 5.533
Pt 1.407 1.407 1.395
```

Values from the calculation:
* formation energy: -411 meV/atom


No. 6
# RuRh5

A PBEsol-optimized structure of RuRh5 (SCAN, the Alexandria database).

Geometry as extended XYZ:
```
6
Lattice="4.309 0.000 0.000 0.000 1.342 6.982 0.000 -1.342 6.982" Properties=species:S:1:pos:R:3 pbc="T T T"
Ru 0.000 0.000 0.000
Rh 0.000 0.000 4.688
Rh 0.000 0.000 9.281
Rh 2.154 0.000 3.115
Rh 2.154 0.000 7.757
Rh 2.154 0.000 12.415
```

Values from the calculation:
* formation energy: 42 meV/atom
* relative energy among the computed polymorphs: 0.033 eV/atom


No. 7
# YTaSi

A PBEsol-optimized structure of YTaSi (SCAN, the Alexandria database).

Geometry as extended XYZ:
```
3
Lattice="0.000 3.165 3.165 3.165 0.000 3.165 3.165 3.165 0.000" Properties=species:S:1:pos:R:3 pbc="T T T"
Y 0.000 0.000 0.000
Ta 3.165 3.165 3.165
Si 1.582 1.582 1.582
```

Values from the calculation:
* formation energy from raw total energies: 0.068 eV per atom


No. 8
# Pt2Pb

A PBEsol-optimized structure of Pt2Pb (SCAN, the Alexandria database).

Geometry as extended XYZ:
```
6
Lattice="4.670 0.000 0.000 -2.335 4.044 0.000 0.000 0.000 5.678" Properties=species:S:1:pos:R:3 pbc="T T T"
Pt 0.000 0.000 0.000
Pt 0.000 0.000 2.839
Pt 0.000 2.696 1.419
Pt 2.335 1.348 4.258
Pb 0.000 2.696 4.258
Pb 2.335 1.348 1.419
```

Values from the calculation:
* formation energy: 167 meV/atom


No. 9
# MgTi2AlCd

A PBEsol-optimized structure of MgTi2AlCd (SCAN, the Alexandria database).

Geometry as extended XYZ:
```
5
Lattice="4.753 0.000 0.000 0.000 4.753 0.000 0.000 0.000 4.857" Properties=species:S:1:pos:R:3 pbc="T T T"
Mg 0.000 0.000 0.000
Ti 0.000 2.377 2.429
Ti 2.377 0.000 2.429
Al 0.000 0.000 2.429
Cd 2.377 2.377 0.000
```

Values from the calculation:
* formation energy: 643 meV/atom


No. 10
# Li2La2Au

A PBEsol-optimized structure of Li2La2Au (SCAN, the Alexandria database).

Geometry as extended XYZ:
```
5
Lattice="-1.828 1.828 9.754 1.828 -1.828 9.754 1.828 1.828 -9.754" Properties=species:S:1:pos:R:3 pbc="T T T"
Li 1.828 0.000 4.877
Li 0.000 1.828 4.877
La 0.000 0.000 1.818
La 0.000 0.000 17.691
Au 0.000 0.000 9.754
```

Values from the calculation:
* formation energy: -300 meV/atom


No. 11
# Ba2YZnCl

A PBEsol-optimized structure of Ba2YZnCl (SCAN, the Alexandria database).

Geometry as extended XYZ:
```
5
Lattice="6.454 0.000 0.000 0.000 6.454 0.000 0.000 0.000 4.965" Properties=species:S:1:pos:R:3 pbc="T T T"
Ba 0.000 3.227 0.000
Ba 3.227 0.000 0.000
Y 0.000 0.000 2.482
Zn 3.227 3.227 0.000
Cl 3.227 3.227 2.482
```

Values from the calculation:
* formation energy from raw total energies: 0.147 eV per atom


No. 12
# Ba2TaBr

A PBEsol-optimized structure of Ba2TaBr (SCAN, the Alexandria database).

Geometry as extended XYZ:
```
4
Lattice="5.960 0.000 0.000 0.000 5.960 0.000 0.000 0.000 3.426" Properties=species:S:1:pos:R:3 pbc="T T T"
Ba 0.000 2.980 0.206
Ba 2.980 0.000 3.221
Ta 0.000 0.000 1.713
Br 2.980 2.980 1.713
```

Values from the calculation:
* formation energy from raw total energies: 0.157 eV per atom


Asked for M_tot across the records above, the calculation gives 8.00 0.00 0.00 0.00 0.00 0.00 1.24 0.00 0.00 0.27 0.16 0.84 μB/cell in order.